[1]
Density functional theory data (meta-GGA SCAN) for a crystal of LiTiSb2 relaxed with PBEsol.

Properties
Uncorrected energy: -187.235 eV per cell
Space-group type: I-42d, No. 122
Formation energy from raw total energies: -0.676 eV/f.u.

Unit cell a=6.1207 b=6.1207 c=6.1207 alpha=105.11 beta=105.11 gamma=118.59
Element x y z (fractional)
Sb 0.8726 0.8750 0.4976
Sb 0.3774 0.3750 0.5024
Sb 0.6250 0.1274 0.0024
Sb 0.1250 0.6226 0.9976
Li 0.7500 0.2500 0.5000
Li 0.5000 0.5000 0.0000
Ti 0.2500 0.7500 0.5000
Ti 0.0000 0.0000 0.0000

[2]
Density functional theory data (meta-GGA SCAN) for a crystal of BaTe2O6 relaxed with PBEsol.

Properties
Uncorrected energy: -333.550 eV per cell
Space-group type: Cmcm, No. 63
Formation energy from raw total energies: -15.335 eV/f.u.

Unit cell a=5.5895 b=6.9979 c=7.3847 alpha=90.00 beta=90.00 gamma=113.54
Element x y z (fractional)
Ba 0.2789 0.5578 0.7500
Ba 0.7211 0.4422 0.2500
Te 0.0000 0.0000 0.5000
Te 0.0000 0.0000 0.0000
Te 0.4153 0.8306 0.2500
Te 0.5847 0.1694 0.7500
O 0.1307 0.7865 0.4551
O 0.3442 0.2135 0.5449
O 0.8693 0.2135 0.9551
O 0.6558 0.7865 0.0449
O 0.8693 0.2135 0.5449
O 0.6558 0.7865 0.4551
O 0.9508 0.9016 0.7500
O 0.0492 0.0984 0.2500
O 0.7285 0.4569 0.7500
O 0.2715 0.5431 0.2500
O 0.3442 0.2135 0.9551
O 0.1307 0.7865 0.0449

[3]
Density functional theory data (meta-GGA SCAN) for a crystal of LaRe2Mo relaxed with PBEsol.

Properties
Uncorrected energy: -218.020 eV per cell
Space-group type: Cmm2, No. 35
Formation energy: 541 meV per atom
Energy above the most stable polymorph in this dataset: 0.207 eV per atom

Unit cell a=2.8091 b=2.8091 c=9.5565 alpha=90.00 beta=90.00 gamma=112.48
Element x y z (fractional)
La 0.0000 0.0000 0.5032
Mo 0.5000 0.5000 0.2174
Re 0.0000 0.0000 0.9994
Re 0.5000 0.5000 0.7800

[4]
Density functional theory data (meta-GGA SCAN) for a crystal of TaMoS2Cl relaxed with PBEsol.

Properties
Uncorrected energy: -125.218 eV per cell
Space-group type: P4/mmm, No. 123
Formation energy from raw total energies: 3.485 eV/f.u.

Unit cell a=4.5526 b=4.6317 c=4.6317 alpha=90.00 beta=90.00 gamma=90.00
Element x y z (fractional)
Mo 0.0000 0.0000 0.0000
Cl 0.5000 0.0000 0.0000
S 0.0000 0.0000 0.5000
S 0.0000 0.5000 0.0000
Ta 0.5000 0.5000 0.5000

[5]
Density functional theory data (meta-GGA SCAN) for a crystal of TaPb3 relaxed with PBEsol.

Properties
Uncorrected energy: -290.967 eV per cell
Space-group type: P4/mmm, No. 123
Formation energy: 740 meV per atom

Unit cell a=3.7165 b=5.1250 c=5.1250 alpha=90.00 beta=90.00 gamma=90.00
Element x y z (fractional)
Pb 0.0000 0.0000 0.5000
Pb 0.5000 0.5000 0.5000
Pb 0.0000 0.5000 0.0000
Ta 0.5000 0.0000 0.0000

[6]
Density functional theory data (meta-GGA SCAN) for a crystal of InSe relaxed with PBEsol.

Properties
Uncorrected energy: -218.724 eV per cell
Space-group type: P-6m2, No. 187
Formation energy from raw total energies: -1.216 eV/f.u.

Unit cell a=4.0022 b=4.0022 c=16.7314 alpha=90.00 beta=90.00 gamma=120.00
Element x y z (fractional)
Se 0.0000 0.0000 0.8405
Se 0.0000 0.0000 0.1595
Se 0.6667 0.3333 0.6595
Se 0.6667 0.3333 0.3405
In 0.3333 0.6667 0.0828
In 0.3333 0.6667 0.9172
In 0.0000 0.0000 0.4172
In 0.0000 0.0000 0.5828

[7]
Density functional theory data (meta-GGA SCAN) for a crystal of ZnTc2Mo relaxed with PBEsol.

Properties
Uncorrected energy: -118.154 eV per cell
Space-group type: Cmmm, No. 65
Formation energy: 92 meV per atom

Unit cell a=2.6404 b=2.6404 c=8.7347 alpha=90.00 beta=90.00 gamma=109.83
Element x y z (fractional)
Mo 0.5000 0.5000 0.0000
Tc 0.0000 0.0000 0.2491
Tc 0.0000 0.0000 0.7509
Zn 0.5000 0.5000 0.5000

[8]
Density functional theory data (meta-GGA SCAN) for a crystal of AgRhSe2 relaxed with PBEsol.

Properties
Uncorrected energy: -105.624 eV per cell
Space-group type: Immm, No. 71
Formation energy from raw total energies: -0.329 eV/f.u.

Unit cell a=3.4184 b=4.3790 c=5.8491 alpha=111.98 beta=106.99 gamma=90.00
Element x y z (fractional)
Ag 0.5000 0.0000 0.0000
Rh 0.0000 0.5000 0.0000
Se 0.6682 0.6682 0.3365
Se 0.3318 0.3318 0.6635

[9]
Density functional theory data (meta-GGA SCAN) for a crystal of NiMo2Os relaxed with PBEsol.

Properties
Uncorrected energy: -157.620 eV per cell
Space-group type: Pmm2, No. 25
Formation energy: 51 meV per atom
Energy above the most stable polymorph in this dataset: 0.072 eV per atom

Unit cell a=2.7370 b=4.3150 c=4.6735 alpha=90.00 beta=90.00 gamma=90.00
Element x y z (fractional)
Ni 0.5000 0.0000 0.5505
Mo 0.0000 0.0000 0.0446
Mo 0.0000 0.5000 0.6952
Os 0.5000 0.5000 0.2097

[10]
Density functional theory data (meta-GGA SCAN) for a crystal of Mn2ZnSbRu relaxed with PBEsol.

Properties
Uncorrected energy: -116.691 eV per cell
Space-group type: P4/mmm, No. 123
Formation energy from raw total energies: 5.421 eV/f.u.

Unit cell a=4.7974 b=4.7797 c=4.7797 alpha=90.00 beta=90.00 gamma=90.00
Element x y z (fractional)
Sb 0.0000 0.0000 0.0000
Zn 0.5000 0.5000 0.5000
Mn 0.0000 0.0000 0.5000
Mn 0.0000 0.5000 0.0000
Ru 0.5000 0.0000 0.0000

[11]
Density functional theory data (meta-GGA SCAN) for a crystal of GaCo2RePd relaxed with PBEsol.

Properties
Uncorrected energy: -147.910 eV per cell
Space-group type: P4/mmm, No. 123
Formation energy: 1383 meV per atom

Unit cell a=4.1875 b=4.1875 c=4.5451 alpha=90.00 beta=90.00 gamma=90.00
Element x y z (fractional)
Re 0.0000 0.0000 0.5000
Co 0.0000 0.5000 0.0000
Co 0.5000 0.0000 0.0000
Ga 0.0000 0.0000 0.0000
Pd 0.5000 0.5000 0.5000

[12]
Density functional theory data (meta-GGA SCAN) for a crystal of MgMo2Pt relaxed with PBEsol.

Properties
Uncorrected energy: -144.268 eV per cell
Space-group type: P4/mmm, No. 123
Formation energy: 167 meV per atom

Unit cell a=3.4522 b=3.4522 c=5.5012 alpha=90.00 beta=90.00 gamma=90.00
Element x y z (fractional)
Mg 0.5000 0.5000 0.5000
Mo 0.0000 0.0000 0.7844
Mo 0.0000 0.0000 0.2156
Pt 0.5000 0.5000 0.0000